This record from the Alexandria database describes As2PN at its PBEsol-relaxed geometry. The functional is meta-GGA SCAN.

The volume comes out at 17.17 Å³/atom. The value obtained for the density of states at the Fermi level is 3.28 states/eV/cell. The calculation puts the total moment at 0.00 μB/f.u. The raw formation energy is 0.738 eV/atom.

Cell: 7.033 7.033 7.033 Å, 140.88 140.88 56.52°
Atoms (fractional coordinates):
As1 0.052 0.625 0.927
As2 0.375 0.302 0.427
As3 0.698 0.125 0.073
As4 0.875 0.948 0.573
P1 0.250 0.750 0.500
P2 0.500 0.500 0.000
N1 0.000 0.000 0.000
N2 0.750 0.250 0.500

---

This record from the Alexandria database describes SnSb2TeRh at its PBEsol-relaxed geometry. The functional is meta-GGA SCAN.

The volume comes out at 32.19 Å³/atom. The value obtained for the density of states at the Fermi level is 4.61 states/eV/cell. The calculation puts the total moment at 1.36 μB/f.u. The raw formation energy is 1.395 eV/atom.

Cell: 5.426 5.426 5.467 Å, 90.00 90.00 90.00°
Atoms (fractional coordinates):
Sn1 0.000 0.000 0.000
Sb1 0.000 0.500 0.000
Sb2 0.500 0.000 0.000
Te1 0.000 0.000 0.500
Rh1 0.500 0.500 0.500

---

This record from the Alexandria database describes BeCu2As at its PBEsol-relaxed geometry. The functional is meta-GGA SCAN.

The volume comes out at 12.33 Å³/atom. The value obtained for the density of states at the Fermi level is 1.41 states/eV/cell. As for the total energy: -13.578 eV/atom. The calculation puts the total moment at 0.00 μB/f.u.

Cell: 7.966 7.966 7.966 Å, 19.52 19.52 19.52°
Atoms (fractional coordinates):
Be1 0.000 0.000 0.000
Cu1 0.260 0.260 0.260
Cu2 0.740 0.740 0.740
As1 0.500 0.500 0.500

---

This record from the Alexandria database describes BeRe2Tc at its PBEsol-relaxed geometry. The functional is meta-GGA SCAN.

The volume comes out at 13.29 Å³/atom. The value obtained for the density of states at the Fermi level is 2.57 states/eV/cell. As for the total energy: -45.443 eV/atom. The calculation puts the total moment at 0.00 μB/f.u.

Cell: 4.221 4.221 4.221 Å, 60.00 60.00 60.00°
Atoms (fractional coordinates):
Be1 0.000 0.000 0.000
Re1 0.250 0.250 0.250
Re2 0.500 0.500 0.500
Tc1 0.750 0.750 0.750

---

This record from the Alexandria database describes La3Cr2N6 at its PBEsol-relaxed geometry. The functional is meta-GGA SCAN.

The volume comes out at 12.99 Å³/atom. The value obtained for the density of states at the Fermi level is 5.11 states/eV/cell. The calculation puts the total moment at 2.55 μB/f.u. The raw formation energy is -1.267 eV/atom.

Cell: 10.251 10.251 10.251 Å, 158.63 158.63 30.40°
Atoms (fractional coordinates):
La1 0.000 0.000 0.000
La2 0.179 0.179 0.000
La3 0.821 0.821 0.000
Cr1 0.398 0.398 0.000
Cr2 0.602 0.602 0.000
N1 0.087 0.587 0.500
N2 0.307 0.307 0.000
N3 0.413 0.913 0.500
N4 0.587 0.087 0.500
N5 0.693 0.693 0.000
N6 0.913 0.413 0.500

---

This record from the Alexandria database describes Rb2TeBr6 at its PBEsol-relaxed geometry. The functional is meta-GGA SCAN.

The volume comes out at 34.04 Å³/atom. The value obtained for the density of states at the Fermi level is 0.00 states/eV/cell. The calculation puts the total moment at 0.00 μB/f.u. The raw formation energy is -1.164 eV/atom.

Cell: 7.567 7.567 7.567 Å, 60.00 60.00 60.00°
Atoms (fractional coordinates):
Rb1 0.250 0.250 0.250
Rb2 0.750 0.750 0.750
Te1 0.000 0.000 0.000
Br1 0.252 0.252 0.748
Br2 0.252 0.748 0.252
Br3 0.252 0.748 0.748
Br4 0.748 0.252 0.252
Br5 0.748 0.252 0.748
Br6 0.748 0.748 0.252